K2LaCl: relaxed, PBE.

a = 7.809 Å, b = 7.809 Å, c = 7.809 Å
α = 142.63°, β = 142.63°, γ = 53.88°
Sites, in units of the cell vectors:
K1 0.000 0.000 0.000
K2 0.750 0.250 0.500
La1 0.250 0.750 0.500
Cl1 0.500 0.500 0.000

- Polymorph energy (0 for the lowest one): 2.486 eV/f.u.
- Calculated volume: 174.27 Å³/cell
- Symmetry: I-4m2, No. 119

=====

ZnAg2GeB: relaxed, PBE.

a = 4.890 Å, b = 4.890 Å, c = 4.633 Å
α = 90.00°, β = 90.00°, γ = 90.00°
Sites, in units of the cell vectors:
Zn1 0.000 0.000 0.000
Ag1 0.000 0.500 0.000
Ag2 0.500 0.000 0.000
Ge1 0.000 0.000 0.500
B1 0.500 0.500 0.500

- Calculated volume: 110.80 Å³/cell
- Symmetry: P4/mmm, No. 123
- Energy relative to the elements: 1.353 eV per atom

=====

Tb2NpTl2S6: relaxed, PBE.

a = 6.967 Å, b = 6.967 Å, c = 7.922 Å
α = 98.60°, β = 98.60°, γ = 119.97°
Sites, in units of the cell vectors:
Tb1 0.167 0.833 0.000
Tb2 0.833 0.167 0.000
Np1 0.500 0.500 0.000
Tl1 0.331 0.669 0.500
Tl2 0.669 0.331 0.500
S1 0.108 0.436 0.806
S2 0.243 0.243 0.195
S3 0.436 0.108 0.806
S4 0.564 0.892 0.194
S5 0.757 0.757 0.805
S6 0.892 0.564 0.194

- Total DFT energy (no corrections): -0.450 Ry/atom
- Calculated volume: 317.87 Å³/cell
- Symmetry: C2/m, No. 12

=====

CaYTe2: relaxed, PBE.

a = 5.464 Å, b = 5.464 Å, c = 3.826 Å
α = 90.00°, β = 90.00°, γ = 90.00°
Sites, in units of the cell vectors:
Ca1 0.000 0.000 0.000
Y1 0.500 0.500 0.000
Te1 0.000 0.500 0.500
Te2 0.500 0.000 0.500

- Polymorph energy (0 for the lowest one): 1.020 eV/f.u.
- Calculated volume: 114.23 Å³/cell
- Symmetry: P4/mmm, No. 123

=====

Pu2NF: relaxed, PBE.

a = 7.015 Å, b = 7.015 Å, c = 7.015 Å
α = 27.66°, β = 27.66°, γ = 27.66°
Sites, in units of the cell vectors:
Pu1 0.000 0.000 0.000
Pu2 0.194 0.194 0.194
N1 0.598 0.598 0.598
F1 0.767 0.767 0.767

- Total DFT energy (no corrections): -0.838 Ry/atom
- Calculated volume: 65.68 Å³/cell
- Symmetry: R3m, No. 160

=====

BaBi2Sb2: relaxed, PBE.

a = 9.225 Å, b = 9.225 Å, c = 4.196 Å
α = 90.00°, β = 90.00°, γ = 90.00°
Sites, in units of the cell vectors:
Ba1 0.000 0.000 0.000
Ba2 0.500 0.500 0.000
Bi1 0.132 0.368 0.000
Bi2 0.368 0.868 0.000
Bi3 0.632 0.132 0.000
Bi4 0.868 0.632 0.000
Sb1 0.203 0.703 0.500
Sb2 0.297 0.203 0.500
Sb3 0.703 0.797 0.500
Sb4 0.797 0.297 0.500

- Polymorph energy (0 for the lowest one): 0.168 eV/f.u.
- Calculated volume: 357.04 Å³/cell
- Symmetry: P4/mbm, No. 127

=====

CrAsI2: relaxed, PBE.

a = 6.836 Å, b = 6.836 Å, c = 6.836 Å
α = 117.08°, β = 117.08°, γ = 95.14°
Sites, in units of the cell vectors:
Cr1 0.000 0.000 0.000
Cr2 0.750 0.250 0.500
As1 0.250 0.750 0.500
As2 0.500 0.500 0.000
I1 0.067 0.625 0.942
I2 0.375 0.317 0.442
I3 0.683 0.125 0.058
I4 0.875 0.933 0.558

- Polymorph energy (0 for the lowest one): 0.000 eV/f.u.
- Calculated volume: 234.86 Å³/cell
- Symmetry: I-42d, No. 122

=====

YBeO2F: relaxed, PBE.

a = 4.407 Å, b = 4.407 Å, c = 4.218 Å
α = 90.00°, β = 90.00°, γ = 90.00°
Sites, in units of the cell vectors:
Y1 0.000 0.000 0.000
Be1 0.500 0.500 0.500
O1 0.000 0.500 0.000
O2 0.500 0.000 0.000
F1 0.000 0.000 0.500

- Total DFT energy (no corrections): -0.433 Ry/atom
- Calculated volume: 81.91 Å³/cell
- Symmetry: P4/mmm, No. 123